(1)
VASP calculation (PBE) on a relaxed SrScSn2 crystal.

It has space group P4/mmm (No. 123), with a = 3.905 Å, b = 3.905 Å, c = 7.341 Å, α = 90.00°, β = 90.00° and γ = 90.00°. The inequivalent atoms are Sr at (0.000, 0.000, 0.000), Sc at (0.000, 0.000, 0.500) and Sn at (0.500, 0.500, 0.296).

For the formation energy, the calculation gives -548 meV per atom.

(2)
VASP calculation (PBE) on a relaxed SrScSn2 crystal.

It has space group R-3m (No. 166, hexagonal axes), with a = 3.7686 Å, b = 3.7686 Å, c = 28.5314 Å, α = 90.00°, β = 90.00° and γ = 120.00°. The inequivalent atoms are Sr at (0.0000, 0.0000, 0.0000), Sc at (0.0000, 0.0000, 0.5000) and Sn at (0.0000, 0.0000, 0.2421).

For the formation energy, the calculation gives -394 meV per atom.

(3)
VASP calculation (PBE) on a relaxed SrSc2Sn crystal.

It has space group I-42d (No. 122), with a = 5.288 Å, b = 5.288 Å, c = 21.023 Å, α = 90.00°, β = 90.00° and γ = 90.00°. The inequivalent atoms are Sr at (0.000, 0.000, 0.000), Sc at (0.001, 0.250, 0.625) and Sn at (0.000, 0.000, 0.500).

For the formation energy, the calculation gives 259 meV per atom.

(4)
VASP calculation (PBE) on a relaxed Sr3ScSn12 crystal.

It has space group P4/mmm (No. 123), with a = 4.818 Å, b = 4.818 Å, c = 19.106 Å, α = 90.00°, β = 90.00° and γ = 90.00°. The inequivalent atoms are Sr at (0.000, 0.000, 0.000), Sr at (0.000, 0.000, 0.258), Sc at (0.000, 0.000, 0.500), Sn at (0.000, 0.500, 0.128), Sn at (0.000, 0.500, 0.386), Sn at (0.500, 0.500, 0.000), Sn at (0.500, 0.500, 0.256) and Sn at (0.500, 0.500, 0.500).

For the formation energy, the calculation gives -362 meV per atom.